{"formula": "AcSm2Ag2Pb2", "functional": "PBE", "state": "relaxed", "cell": [[5.040, 0.000, 0.000], [2.520, 4.365, 0.000], [2.520, 1.455, 9.220]], "species": ["Ac", "Sm", "Sm", "Ag", "Ag", "Pb", "Pb"], "frac_coords": [[0.000, 0.000, 0.000], [0.136, 0.136, 0.592], [0.864, 0.864, 0.408], [0.556, 0.556, 0.331], [0.444, 0.444, 0.669], [0.738, 0.738, 0.785], [0.262, 0.262, 0.215]], "magmom_total_mub_per_cell": 0.0, "spacegroup": "R-3m (166)", "dos_ef_per_ev_cell": 3.207, "ef_mev_per_atom": -339}



{"formula": "AcCuAs2", "functional": "PBE", "state": "relaxed", "cell": [[5.081, 0.000, 0.000], [2.541, 4.401, 0.000], [2.541, 1.467, 4.149]], "species": ["Ac", "As", "As", "Cu"], "frac_coords": [[0.000, 0.000, 0.000], [0.250, 0.250, 0.250], [0.750, 0.750, 0.750], [0.500, 0.500, 0.500]], "magmom_total_mub_per_cell": 0.0, "spacegroup": "Fm-3m (225)", "dos_ef_per_ev_cell": 4.351, "ef_mev_per_atom": -269, "relative_energy_mev_per_atom": 531}



{"formula": "AlSi2Ni", "functional": "PBE", "state": "relaxed", "cell": [[-3.231, 1.856, -1.682], [1.035, -2.153, -4.364], [-3.197, -4.322, 1.374]], "species": ["Al", "Al", "Si", "Si", "Si", "Si", "Ni", "Ni"], "frac_coords": [[0.000, 0.250, 0.348], [0.000, 0.750, 0.652], [0.500, 0.000, 0.000], [0.500, 0.500, 0.000], [0.000, 0.250, 0.849], [0.000, 0.750, 0.151], [0.500, 0.250, 0.622], [0.500, 0.750, 0.378]], "dft_energy_ev_per_fu": -19.71, "magmom_total_mub_per_cell": 0.0, "spacegroup": "Pmma (51)", "dos_ef_per_ev_cell": 3.710}



{"formula": "NaTi2Pt2", "functional": "PBE", "state": "relaxed", "cell": [[-4.511, 2.368, 6.016], [3.265, -5.497, 4.612], [1.993, 1.833, 0.773]], "species": ["Na", "Na", "Pt", "Pt", "Pt", "Pt", "Ti", "Ti", "Ti", "Ti"], "frac_coords": [[0.000, 0.000, 0.000], [0.500, 0.500, 0.000], [0.360, 0.860, 0.000], [0.860, 0.640, 0.000], [0.640, 0.140, 0.000], [0.140, 0.360, 0.000], [0.153, 0.653, 0.500], [0.653, 0.847, 0.500], [0.847, 0.347, 0.500], [0.347, 0.153, 0.500]], "magmom_total_mub_per_cell": 0.5, "spacegroup": "P4/mbm (127)", "dos_ef_per_ev_cell": 9.189, "ef_mev_per_atom": -620, "relative_energy_mev_per_atom": 0}



{"formula": "Ce2ScHg5", "functional": "PBE", "state": "relaxed", "cell": [[5.036, 0.000, 0.000], [0.000, 5.036, 0.000], [-2.518, -2.518, 7.792]], "species": ["Ce", "Ce", "Sc", "Hg", "Hg", "Hg", "Hg", "Hg"], "frac_coords": [[0.740, 0.740, 0.480], [0.260, 0.260, 0.520], [0.000, 0.000, 0.000], [0.500, 0.500, 0.000], [0.886, 0.386, 0.772], [0.386, 0.886, 0.772], [0.114, 0.614, 0.228], [0.614, 0.114, 0.228]], "magmom_total_mub_per_cell": 2.3, "spacegroup": "I4/mmm (139)", "dos_ef_per_ev_cell": 17.025, "ef_mev_per_atom": -279}



{"formula": "TaWS2N", "functional": "PBE", "state": "relaxed", "cell": [[-0.199, 3.306, -3.466], [-0.761, -2.679, -2.512], [-4.690, 0.569, 0.813]], "species": ["S", "S", "N", "W", "Ta"], "frac_coords": [[0.000, 0.000, 0.500], [0.500, 0.000, 0.000], [0.000, 0.500, 0.000], [0.000, 0.000, 0.000], [0.500, 0.500, 0.500]], "magmom_total_mub_per_cell": 2.1, "spacegroup": "P4/mmm (123)", "dos_ef_per_ev_cell": 4.818, "relative_energy_mev_per_atom": 0}



{"formula": "ErTmTc", "functional": "PBE", "state": "relaxed", "cell": [[3.758, 0.000, 0.000], [0.000, 7.883, 0.000], [0.000, 0.000, 9.532]], "species": ["Er", "Er", "Er", "Er", "Tm", "Tm", "Tm", "Tm", "Tc", "Tc", "Tc", "Tc"], "frac_coords": [[0.250, 0.500, 0.171], [0.750, 0.500, 0.829], [0.250, 0.000, 0.329], [0.750, 0.000, 0.671], [0.250, 0.156, 0.944], [0.750, 0.344, 0.444], [0.750, 0.844, 0.056], [0.250, 0.656, 0.556], [0.750, 0.704, 0.334], [0.750, 0.204, 0.166], [0.250, 0.796, 0.834], [0.250, 0.296, 0.666]], "magmom_total_mub_per_cell": 0.0, "spacegroup": "Pnma (62)", "dos_ef_per_ev_cell": 6.026, "ef_mev_per_atom": -89, "relative_energy_mev_per_atom": 10}



{"formula": "DyYHg2", "functional": "PBE", "state": "relaxed", "cell": [[5.268, 0.000, 0.000], [2.634, 4.562, 0.000], [2.634, 1.521, 4.302]], "species": ["Y", "Hg", "Hg", "Dy"], "frac_coords": [[0.000, 0.000, 0.000], [0.250, 0.250, 0.250], [0.750, 0.750, 0.750], [0.500, 0.500, 0.500]], "magmom_total_mub_per_cell": 0.2, "spacegroup": "Fm-3m (225)", "dos_ef_per_ev_cell": 4.243, "ef_mev_per_atom": -494, "relative_energy_mev_per_atom": 2}